1.
# YThPd2

An optimized crystal structure of YThPd2 (PBE, the Alexandria database).

For the energy above the most stable polymorph in this dataset, the calculation gives 0.115 eV/atom. Its size of the total moment is 0.00 μB per atom. The calculated density comes out at 8.752 g/cm³. The formation energy is -2.91 eV per formula unit.

a = 4.1315 Å, b = 4.1315 Å, c = 20.5528 Å
α = 90.00°, β = 90.00°, γ = 120.00°
Space group R-3m (No. 166, hexagonal axes)
Asymmetric unit:
Y (0.0000, 0.0000, 0.0000) (multiplicity 3)
Th (0.0000, 0.0000, 0.5000) (multiplicity 3)
Pd (0.0000, 0.0000, 0.2496) (multiplicity 6)

2.
# Ho4Ge3Pt

An optimized crystal structure of Ho4Ge3Pt (PBE, the Alexandria database).

Its size of the total moment is 0.00 μB per atom. The calculated density comes out at 9.841 g/cm³. The formation energy is -7.68 eV per formula unit.

a = 4.077 Å, b = 4.119 Å, c = 10.781 Å
α = 90.00°, β = 90.00°, γ = 90.00°
Space group Pmm2 (No. 25)
Asymmetric unit:
Ho (0.000, 0.000, 0.000) (multiplicity 1)
Ho (0.000, 0.500, 0.490) (multiplicity 1)
Ho (0.500, 0.000, 0.716) (multiplicity 1)
Ho (0.500, 0.500, 0.220) (multiplicity 1)
Ge (0.000, 0.500, 0.769) (multiplicity 1)
Ge (0.500, 0.000, 0.443) (multiplicity 1)
Ge (0.500, 0.500, 0.937) (multiplicity 1)
Pt (0.000, 0.000, 0.269) (multiplicity 1)

3.
# Tl2GaAu

An optimized crystal structure of Tl2GaAu (PBE, the Alexandria database).

For the energy above the most stable polymorph in this dataset, the calculation gives 0.000 eV/atom. Its size of the total moment is 0.00 μB per atom. The calculated density comes out at 10.403 g/cm³. The formation energy is -0.19 eV per formula unit.

a = 7.585 Å, b = 4.557 Å, c = 6.772 Å
α = 90.00°, β = 112.89°, γ = 90.00°
Space group Cm (No. 8)
Asymmetric unit:
Tl (0.000, 0.000, 0.000) (multiplicity 2)
Tl (0.225, 0.000, 0.638) (multiplicity 2)
Ga (0.435, 0.000, 0.294) (multiplicity 2)
Au (0.296, 0.500, 0.358) (multiplicity 2)

4.
# CrRh5

An optimized crystal structure of CrRh5 (PBE, the Alexandria database).

Its size of the total moment is 0.00 μB per atom. The calculated density comes out at 11.396 g/cm³. The formation energy is -0.35 eV per formula unit.

a = 4.7026 Å, b = 4.7026 Å, c = 4.3102 Å
α = 90.00°, β = 90.00°, γ = 120.00°
Space group P-62m (No. 189)
Asymmetric unit:
Cr (0.0000, 0.0000, 0.0000) (multiplicity 1)
Rh (0.0000, 0.6714, 0.5000) (multiplicity 3)
Rh (0.3333, 0.6667, 0.0000) (multiplicity 2)

5.
# Pu2CuPd5Au2

An optimized crystal structure of Pu2CuPd5Au2 (PBE, the Alexandria database).

Its size of the total moment is 1.06 μB per atom. The calculated density comes out at 12.827 g/cm³. The formation energy is -2.82 eV per formula unit.

a = 9.876 Å, b = 9.876 Å, c = 3.922 Å
α = 90.00°, β = 90.00°, γ = 90.00°
Space group P4/mbm (No. 127)
Asymmetric unit:
Pu (0.170, 0.330, 0.000) (multiplicity 4)
Cu (0.000, 0.000, 0.000) (multiplicity 2)
Pd (0.000, 0.500, 0.500) (multiplicity 2)
Pd (0.040, 0.806, 0.500) (multiplicity 8)
Au (0.131, 0.631, 0.000) (multiplicity 4)

6.
# Pr2HoSc

An optimized crystal structure of Pr2HoSc (PBE, the Alexandria database).

For the energy above the most stable polymorph in this dataset, the calculation gives 0.000 eV/atom. Its size of the total moment is 0.00 μB per atom. The calculated density comes out at 6.436 g/cm³. The formation energy is 0.16 eV per formula unit.

a = 3.644 Å, b = 3.644 Å, c = 9.551 Å
α = 90.00°, β = 90.00°, γ = 90.00°
Space group P4/mmm (No. 123)
Asymmetric unit:
Pr (0.000, 0.000, 0.239) (multiplicity 2)
Ho (0.500, 0.500, 0.500) (multiplicity 1)
Sc (0.500, 0.500, 0.000) (multiplicity 1)

7.
# CaMoN3

An optimized crystal structure of CaMoN3 (PBE, the Alexandria database).

Its size of the total moment is 0.00 μB per atom. The calculated density comes out at 4.275 g/cm³.

a = 3.625 Å, b = 5.193 Å, c = 7.412 Å
α = 90.39°, β = 97.47°, γ = 91.28°
Space group P1 (No. 1)
Asymmetric unit:
Ca (0.000, 0.000, 0.000) (multiplicity 1)
Ca (0.097, 0.957, 0.482) (multiplicity 1)
Mo (0.451, 0.463, 0.763) (multiplicity 1)
Mo (0.523, 0.444, 0.258) (multiplicity 1)
N (0.049, 0.307, 0.269) (multiplicity 1)
N (0.459, 0.806, 0.773) (multiplicity 1)
N (0.508, 0.322, 0.997) (multiplicity 1)
N (0.524, 0.788, 0.267) (multiplicity 1)
N (0.635, 0.293, 0.533) (multiplicity 1)
N (0.927, 0.348, 0.669) (multiplicity 1)

8.
# TmPu2MnN4

An optimized crystal structure of TmPu2MnN4 (PBE, the Alexandria database).

Its size of the total moment is 0.80 μB per atom. The calculated density comes out at 12.036 g/cm³.

a = 3.271 Å, b = 11.296 Å, c = 11.468 Å
α = 90.00°, β = 90.00°, γ = 90.00°
Space group Cmcm (No. 63)
Asymmetric unit:
Tm (0.000, 0.110, 0.250) (multiplicity 4)
Pu (0.000, 0.368, 0.053) (multiplicity 8)
Mn (0.000, 0.154, 0.750) (multiplicity 4)
N (0.000, 0.000, 0.000) (multiplicity 4)
N (0.000, 0.273, 0.627) (multiplicity 8)
N (0.000, 0.453, 0.250) (multiplicity 4)

9.
# Rb2MgScBr6

An optimized crystal structure of Rb2MgScBr6 (PBE, the Alexandria database).

Its size of the total moment is 0.10 μB per atom. The calculated density comes out at 3.693 g/cm³.

a = 10.898 Å, b = 10.898 Å, c = 10.898 Å
α = 90.00°, β = 90.00°, γ = 90.00°
Space group Fm-3m (No. 225)
Asymmetric unit:
Rb (0.250, 0.250, 0.250) (multiplicity 8)
Mg (0.000, 0.000, 0.000) (multiplicity 4)
Sc (0.000, 0.000, 0.500) (multiplicity 4)
Br (0.000, 0.000, 0.247) (multiplicity 24)

10.
# SnTe2As

An optimized crystal structure of SnTe2As (PBE, the Alexandria database).

For the energy above the most stable polymorph in this dataset, the calculation gives 0.166 eV/atom. Its size of the total moment is 0.00 μB per atom. The calculated density comes out at 5.202 g/cm³.

a = 5.824 Å, b = 5.824 Å, c = 16.898 Å
α = 90.00°, β = 90.00°, γ = 90.00°
Space group I-42d (No. 122)
Asymmetric unit:
Sn (0.000, 0.000, 0.000) (multiplicity 4)
Te (0.216, 0.250, 0.625) (multiplicity 8)
As (0.000, 0.000, 0.500) (multiplicity 4)

D(E_F), record by record: 0.446, 0.606, 0.420, 1.339, 3.381, 1.379, 0.000, 1.253, 1.051, 0.466 states/eV/atom
Uncorrected energy, record by record: -81.6, -45.9, -22.4, -46.7, -136.2, -20.3, -81.2, -336.1, -141.1, -57.5 eV/cell